1.
Entry from the Alexandria database: an optimized crystal structure of VFeTeI2 (PBE).

```
VFeTeI2
1.0
-0.7359 -2.7872 -4.4244
5.0423 0.8054 -1.3460
1.2875 -4.1010 2.3693
I Te Fe V
2 1 1 1
Direct
0.0000 0.5000 0.0000
0.5000 0.0000 0.0000
0.0000 0.0000 0.5000
0.0000 0.0000 0.0000
0.5000 0.5000 0.5000
```

Output
- symmetry = P4/mmm, No. 123
- VASP energy (eV/atom) = -3.7009
- spin magnetization (μB per cell) = 0.29
- formation energy from raw total energies (eV per atom) = 1.064

2.
Entry from the Alexandria database: an optimized crystal structure of VFeTeI2 (PBE).

```
VFeTeI2
1.0
-4.9902 2.0360 -1.4338
-2.4714 -3.6561 3.4101
0.2865 3.4630 3.9204
I Te Fe V
2 1 1 1
Direct
0.0000 0.5000 0.0000
0.5000 0.0000 0.0000
0.0000 0.0000 0.5000
0.5000 0.5000 0.5000
0.0000 0.0000 0.0000
```

Output
- symmetry = P4/mmm, No. 123
- VASP energy (eV/atom) = -4.1048
- spin magnetization (μB per cell) = 6.17
- formation energy from raw total energies (eV per atom) = 0.660

3.
Entry from the Alexandria database: an optimized crystal structure of VFeTe2I (PBE).

```
VFeTe2I
1.0
-1.6730 -3.4740 3.2041
4.4651 -0.0483 2.2792
-1.7294 4.0365 3.4736
I Te Fe V
1 2 1 1
Direct
0.0000 0.0000 0.5000
0.0000 0.5000 0.0000
0.5000 0.0000 0.0000
0.0000 0.0000 0.0000
0.5000 0.5000 0.5000
```

Output
- symmetry = P4/mmm, No. 123
- VASP energy (eV/atom) = -4.3522
- spin magnetization (μB per cell) = 6.14
- formation energy from raw total energies (eV per atom) = 0.731

no.,polymorph energy (0 for the lowest one) (meV/atom)
1,404
2,0
3,3